First-principles (PBE with a Hubbard U) data for a relaxed structure of LiNi2OF3, as listed in Alexandria.

Summary:
As for the total DFT energy (no corrections): -4.5193 eV/atom. Its magnetization is 4.00 μB per formula unit.

Lattice parameters (Å, degrees): 10.2101 5.9632 5.0397 90.00 90.00 90.00
Fractional coordinates of all 28 atoms:
Li 0.0908 0.2500 0.0290
Li 0.4092 0.7500 0.5290
Li 0.5908 0.2500 0.4710
Li 0.9092 0.7500 0.9710
Ni 0.0000 0.0000 0.5000
Ni 0.0000 0.5000 0.5000
Ni 0.2417 0.7500 0.9997
Ni 0.2583 0.2500 0.4997
Ni 0.5000 0.0000 0.0000
Ni 0.5000 0.5000 0.0000
Ni 0.7417 0.7500 0.5003
Ni 0.7583 0.2500 0.0003
O 0.0873 0.2500 0.6674
O 0.4127 0.7500 0.1674
O 0.5873 0.2500 0.8326
O 0.9127 0.7500 0.3326
F 0.0746 0.7500 0.7770
F 0.1681 0.0086 0.2328
F 0.1681 0.4914 0.2328
F 0.3319 0.5086 0.7328
F 0.3319 0.9914 0.7328
F 0.4254 0.2500 0.2770
F 0.5746 0.7500 0.7230
F 0.6681 0.0086 0.2672
F 0.6681 0.4914 0.2672
F 0.8319 0.5086 0.7672
F 0.8319 0.9914 0.7672
F 0.9254 0.2500 0.2230